Ca2CuMo | PBE-GGA | relaxed

Cell and atoms, written as CIF:
```
data_Ca2CuMo
_cell_length_a 6.6721
_cell_length_b 8.7424
_cell_length_c 3.0102
_cell_angle_alpha 90.00
_cell_angle_beta 90.16
_cell_angle_gamma 90.00
_symmetry_space_group_name_H-M 'C 1 2/m 1'
_symmetry_Int_Tables_number 12
loop_
_symmetry_equiv_pos_as_xyz
'x,y,z'
'-x,-y,-z'
'-x,y,-z'
'x,-y,z'
'x+1/2,y+1/2,z'
'-x+1/2,-y+1/2,-z'
'-x+1/2,y+1/2,-z'
'x+1/2,-y+1/2,z'
loop_
_atom_site_label
_atom_site_type_symbol
_atom_site_fract_x
_atom_site_fract_y
_atom_site_fract_z
Ca1 Ca 0.2500 0.2500 0.0000
Cu1 Cu 0.0000 0.0000 0.5000
Mo1 Mo 0.0000 0.5000 0.5000
```

Calculated values
ΔE to the lowest computed polymorph (meV/atom): 191
Energy relative to the elements (eV per atom): 0.656
Magnetic moment (μB per cell): 0.0